1.
A plane-wave DFT calculation with PBE-GGA was carried out for HfPbS2O8 after structural relaxation.

Properties
- E_form (uncorrected): -1.534 eV per atom

Cell and atoms, written as POSCAR:
```
HfPbS2O8
1.0
4.8845 -2.8571 0.0000
4.8845 2.8571 0.0000
-0.9000 0.0000 7.1200
Hf Pb S O
1 1 2 8
Cartesian
0.0000 0.0000 0.0000 Hf
-0.4500 0.0000 3.5600 Pb
2.3838 0.0000 5.6884 S
6.4853 0.0000 1.4316 S
3.2031 1.2034 6.0125 O
1.1606 0.0000 6.5473 O
2.0464 0.0000 4.2704 O
5.6659 1.2034 1.1075 O
3.2031 -1.2034 6.0125 O
6.8226 0.0000 2.8496 O
7.7084 0.0000 0.5727 O
5.6659 -1.2034 1.1075 O
```

2.
A plane-wave DFT calculation with PBE-GGA was carried out for Pr5NdErTm2 after structural relaxation.

Properties
- Formation enthalpy at 0 K: 144 meV/atom

Cell and atoms, written as POSCAR:
```
Pr5NdErTm2
1.0
2.8297 -10.2762 0.0000
2.8297 10.2762 0.0000
0.0000 0.0000 10.8306
Pr Nd Er Tm
10 2 2 4
Cartesian
2.8297 9.9724 5.4153 Pr
2.8297 4.5029 8.5635 Pr
2.8297 4.2126 1.9868 Pr
2.8297 2.3130 5.4567 Pr
2.8297 0.3614 2.4379 Pr
2.8297 -0.3614 7.8533 Pr
2.8297 -2.3130 0.0414 Pr
2.8297 -4.2126 7.4022 Pr
2.8297 -4.5029 3.1482 Pr
2.8297 -9.9724 0.0000 Pr
2.8297 6.1541 5.3095 Nd
2.8297 -6.1541 10.7248 Nd
2.8297 1.8798 10.2195 Er
2.8297 -1.8798 4.8042 Er
2.8297 8.0117 2.4106 Tm
2.8297 7.9056 8.5528 Tm
2.8297 -7.9056 3.1375 Tm
2.8297 -8.0117 7.8259 Tm
```

3.
A plane-wave DFT calculation with PBE-GGA was carried out for Ac3Sm2UN6 after structural relaxation.

Properties
- E_form (uncorrected): -1.292 eV per atom

Cell and atoms, written as POSCAR:
```
Ac3Sm2UN6
1.0
3.1699 -5.4748 0.0000
3.1699 5.4748 0.0000
-2.1021 0.0000 6.1559
Ac Sm U N
3 2 1 6
Cartesian
0.0000 0.0000 0.0000 Ac
3.1699 1.8477 0.0000 Ac
3.1699 -1.8477 0.0000 Ac
2.1188 3.6533 3.0780 Sm
2.1188 -3.6533 3.0780 Sm
2.1188 0.0000 3.0780 U
1.1697 1.6334 1.8124 N
0.2069 0.0000 4.4034 N
1.1697 -1.6334 1.8124 N
3.0680 1.6334 4.3435 N
4.0308 0.0000 1.7525 N
3.0680 -1.6334 4.3435 N
```

4.
A plane-wave DFT calculation with PBE-GGA was carried out for TbTl2Br3Cl3 after structural relaxation.

Properties
- E_form (uncorrected): -1.305 eV per atom

Cell and atoms, written as POSCAR:
```
TbTl2Br3Cl3
1.0
8.6179 0.0000 0.0000
-4.3090 7.4633 0.0000
0.0000 0.0000 3.9110
Tb Tl Br Cl
1 2 3 3
Cartesian
0.0000 0.0000 0.0000 Tb
0.0000 4.9756 1.9555 Tl
4.3090 2.4878 1.9555 Tl
-1.7747 3.0739 0.0000 Br
3.5495 0.0000 0.0000 Br
2.5342 4.3894 0.0000 Br
-3.3503 5.8029 1.9555 Cl
0.9586 1.6604 1.9555 Cl
6.7007 0.0000 1.9555 Cl
```

Number 1: total magnetization 0.053 μB/atom, density of states at the Fermi level 1.74 states/eV/cell. Number 2: total magnetization 0.000 μB/atom, density of states at the Fermi level 28.64 states/eV/cell. Number 3: total magnetization 0.000 μB/atom, density of states at the Fermi level 5.28 states/eV/cell. Number 4: total magnetization 0.000 μB/atom, density of states at the Fermi level 4.80 states/eV/cell.